Record 1
The following is a DFT calculation (GGA-PBE) of an optimized crystal structure of LaCeZrN3.

Its total magnetic moment is 1.27 μB/f.u. The calculation puts the formation energy (no corrections) at -1.294 eV/atom. The density of states at the Fermi level comes out at 8.97 states/eV per cell.

The structure belongs to space group P2_1/m (No. 11); the cell edges are 6.616, 3.349 and 9.794 Å and the angles 90.00°, 92.42° and 90.00°. The distinct sites, in fractional coordinates, are La at (0.147, 0.250, 0.206), Ce at (0.215, 0.250, 0.573), Zr at (0.359, 0.750, 0.893), N at (0.141, 0.750, 0.417), N at (0.157, 0.250, 0.834) and N at (0.392, 0.750, 0.105).

Record 2
The following is a DFT calculation (GGA-PBE) of an optimized crystal structure of La3Ce2ZrN6.

Its total magnetic moment is 0.00 μB/f.u. The calculation puts the formation energy (no corrections) at -1.459 eV/atom. The density of states at the Fermi level comes out at 13.12 states/eV per cell.

The structure belongs to space group C2/m (No. 12); the cell edges are 6.179, 10.696 and 6.273 Å and the angles 90.00°, 109.07° and 90.00°. The distinct sites, in fractional coordinates, are La at (0.000, 0.000, 0.000), La at (0.000, 0.334, 0.000), Ce at (0.000, 0.167, 0.500), Zr at (0.000, 0.500, 0.500), N at (0.231, 0.341, 0.717) and N at (0.243, 0.500, 0.278).

Record 3
The following is a DFT calculation (GGA-PBE) of an optimized crystal structure of NaLa2Ce.

Its total magnetic moment is 0.06 μB/f.u. The density of states at the Fermi level comes out at 5.14 states/eV per cell. The formation energy is 0.0879 eV/atom. As for the energy above the most stable polymorph in this dataset: 0.00 eV/f.u.

The structure belongs to space group P4/mmm (No. 123); the cell edges are 3.566, 3.566 and 10.747 Å and the angles 90.00°, 90.00° and 90.00°. The distinct sites, in fractional coordinates, are Na at (0.000, 0.000, 0.000), La at (0.500, 0.500, 0.281) and Ce at (0.000, 0.000, 0.500).

Record 4
The following is a DFT calculation (GGA-PBE) of an optimized crystal structure of NaLaCe.

Its total magnetic moment is 0.00 μB/f.u. The density of states at the Fermi level comes out at 8.82 states/eV per cell. The formation energy is 0.0636 eV/atom. As for the energy above the most stable polymorph in this dataset: 0.00 eV/f.u.

The structure belongs to space group P4/nmm (No. 129, origin choice 2); the cell edges are 3.495, 3.495 and 16.139 Å and the angles 90.00°, 90.00° and 90.00°. The distinct sites, in fractional coordinates, are Na at (0.250, 0.250, 0.089), La at (0.250, 0.250, 0.722) and Ce at (0.250, 0.250, 0.432).